[1]
This record from Alexandria via LeMat-Bulk describes crystalline Pr3Ga4Pt2 at its relaxed geometry. The functional is PBE.

**VASP energy**: -46.5 eV per cell
**Symmetry**: C2/m (12)
**E above lowest polymorph**: 0.0 meV per atom
**Formation energy**: -0.89 eV per atom
**Total moment**: 0.00 μB/f.u.

Cell: 5.9874 5.9874 8.7201 Å, 109.38 109.38 43.46°
Element x y z (fractional)
Pr  0.0000  0.0000  0.0000
Pr  0.3219  0.3219  0.3548
Pr  0.6781  0.6781  0.6452
Ga  0.0222  0.0222  0.3585
Ga  0.2561  0.2561  0.9168
Ga  0.7439  0.7439  0.0832
Ga  0.9778  0.9778  0.6415
Pt  0.3965  0.3965  0.7296
Pt  0.6035  0.6035  0.2704

---

[2]
This record from Alexandria via LeMat-Bulk describes crystalline ScCuPd3 at its relaxed geometry. The functional is PBE.

**VASP energy**: -57.8 eV per cell
**Symmetry**: C2/m (12)
**E above lowest polymorph**: 0.0 meV per atom
**Formation energy**: -0.58 eV per atom
**Total moment**: 0.00 μB/f.u.

Cell: 7.3823 7.3823 5.5693 Å, 98.11 98.11 31.27°
Element x y z (fractional)
Sc  0.1084  0.1084  0.0444
Sc  0.8916  0.8916  0.9556
Cu  0.2950  0.2950  0.6416
Cu  0.7050  0.7050  0.3584
Pd  0.1049  0.1049  0.5384
Pd  0.2979  0.2979  0.1639
Pd  0.4956  0.4956  0.7478
Pd  0.5044  0.5044  0.2522
Pd  0.7021  0.7021  0.8361
Pd  0.8951  0.8951  0.4616

---

[3]
This record from Alexandria via LeMat-Bulk describes crystalline MnTl2Hg at its relaxed geometry. The functional is PBE.

**VASP energy**: -12.7 eV per cell
**Symmetry**: I4/mmm (139)
**E above lowest polymorph**: 114.9 meV per atom
**Formation energy**: 0.38 eV per atom
**Total moment**: 4.14 μB/f.u.

Cell: 5.7717 5.7717 5.7717 Å, 133.73 133.73 67.51°
Element x y z (fractional)
Mn  0.0000  0.0000  0.0000
Tl  0.2500  0.7500  0.5000
Tl  0.7500  0.2500  0.5000
Hg  0.5000  0.5000  0.0000

---

[4]
This record from Alexandria via LeMat-Bulk describes crystalline TbCuH2O4 at its relaxed geometry. The functional is PBE.

**VASP energy**: -47.2 eV per cell
**Symmetry**: I222 (23)
**Total moment**: 0.00 μB/f.u.

Cell: 4.6759 4.6759 4.6759 Å, 119.64 109.48 99.90°
Element x y z (fractional)
Tb  0.0000  0.0000  0.0000
Cu  0.5000  0.5000  0.0000
H  0.3057  0.8057  0.5000
H  0.6943  0.1943  0.5000
O  0.1858  0.0220  0.6055
O  0.4165  0.5802  0.3945
O  0.5835  0.9780  0.1637
O  0.8142  0.4198  0.8363